This record from Alexandria via LeMat-Bulk describes a relaxed LaFeMo crystal. The functional is PBE.

Output
Calculated volume ... 57.6 Å³ per cell
E above lowest polymorph ... 0.034 eV/atom
D(E_F) ... 2.6 states/eV/cell
Mass density ... 8.39 g/cm3
Symmetry ... I4mm
Total DFT energy (no corrections) ... -7.736 eV per atom

Structure (POSCAR):
```
LaFeMo
1.0
6.329 0.001 -0.001
5.563 3.020 0.002
0.767 0.193 3.013
Fe La Mo
1 1 1
Direct
0.036 0.036 0.964
0.337 0.337 0.663
0.627 0.627 0.373
```